# Ac2NpN4

A relaxed Ac2NpN4 crystal (PBE-GGA, Alexandria via LeMat-Bulk).

Lattice parameters (Å, degrees): 7.3361 7.3361 7.3361 146.11 146.11 48.68
Positions (direct):
Ac1 0.1466 0.1466 0.0000
Ac2 0.8534 0.8534 0.0000
Np1 0.5000 0.5000 0.0000
N1 0.0000 0.5000 0.5000
N2 0.3363 0.3363 0.0000
N3 0.5000 0.0000 0.5000
N4 0.6637 0.6637 0.0000

Output
**Energy**: -8.99 eV per atom
**Space-group type**: I4/mmm (139)
**Calculated density**: 10.15 g/cm³
**Fermi-level density of states**: 2.83 states/eV/f.u.

---

# AcNpN

A relaxed AcNpN crystal (PBE-GGA, Alexandria via LeMat-Bulk).

Lattice parameters (Å, degrees): 7.4253 7.4253 7.4253 154.09 154.09 36.97
Positions (direct):
Ac1 0.0000 0.0000 0.0000
Np1 0.2831 0.2831 0.0000
N1 0.8135 0.8135 0.0000

Output
**Energy**: -8.62 eV per atom
**Space-group type**: I4mm (107)
**Calculated density**: 10.17 g/cm³
**Fermi-level density of states**: 9.71 states/eV/f.u.

---

# Ac2NpN3O3

A relaxed Ac2NpN3O3 crystal (PBE-GGA, Alexandria via LeMat-Bulk).

Lattice parameters (Å, degrees): 6.4897 6.4897 3.4732 90.00 90.00 120.00
Positions (direct):
Ac1 0.3333 0.6667 0.0000
Ac2 0.6667 0.3333 0.0000
Np1 0.0000 0.0000 0.5000
N1 0.0000 0.7893 0.0000
N2 0.2107 0.2107 0.0000
N3 0.7893 0.0000 0.0000
O1 0.0000 0.3956 0.5000
O2 0.3956 0.0000 0.5000
O3 0.6044 0.6044 0.5000

Output
**Energy**: -8.34 eV per atom
**Space-group type**: P-62m (189)
**Calculated density**: 10.24 g/cm³
**Fermi-level density of states**: 6.46 states/eV/f.u.